[1]
Here is a crystal of SrCaPb2 relaxed with PBEsol from Alexandria via LeMat-Bulk. Energies are from meta-GGA SCAN.

a = 7.2877 Å, b = 9.3279 Å, c = 3.5712 Å
α = 90.00°, β = 90.00°, γ = 90.00°
With the nearest neighbours (Å) after each atom.
Space group Cmmm (No. 65)
Inequivalent atoms, fractional coordinates:
Sr (0.0000, 0.0000, 0.0000)  8 Pb 3.46, 2 Sr 3.57, 2 Ca 3.64
Ca (0.0000, 0.5000, 0.0000)  8 Pb 3.46, 2 Ca 3.57, 2 Sr 3.64
Pb (0.2500, 0.2500, 0.5000)  4 Ca 3.46, 4 Sr 3.46, 4 Pb 3.57-3.64

The total magnetic moment is 0.00 μB per cell. As for the total energy: -46.586 eV/atom. The energy of formation is -711 meV/atom.


[2]
Here is a crystal of BiO2 relaxed with PBEsol from Alexandria via LeMat-Bulk. Energies are from meta-GGA SCAN.

a = 5.4436 Å, b = 5.4436 Å, c = 5.4436 Å
α = 90.00°, β = 90.00°, γ = 90.00°
With the nearest neighbours (Å) after each atom.
Space group Fm-3m (No. 225)
Inequivalent atoms, fractional coordinates:
Bi (0.0000, 0.0000, 0.0000)  8 O 2.36
O (0.2500, 0.2500, 0.2500)  4 Bi 2.36

The total magnetic moment is 0.04 μB per cell. As for the total energy: -31.142 eV/atom. As for the polymorph energy (0 for the lowest one): 84 meV/atom. The value obtained for the raw formation energy is -0.79 eV/atom.


[3]
Here is a crystal of TiAg3S relaxed with PBEsol from Alexandria via LeMat-Bulk. Energies are from meta-GGA SCAN.

a = 4.8927 Å, b = 4.8927 Å, c = 4.8927 Å
α = 90.00°, β = 90.00°, γ = 90.00°
With the nearest neighbours (Å) after each atom.
Space group Pm-3m (No. 221)
Inequivalent atoms, fractional coordinates:
Ti (0.0000, 0.0000, 0.0000)  6 Ag 2.45
Ag (0.0000, 0.0000, 0.5000)  2 Ti 2.45
S (0.5000, 0.5000, 0.5000)  12 Ag 3.46

The total magnetic moment is 2.44 μB per cell. As for the total energy: -22.638 eV/atom. The value obtained for the raw formation energy is 1.31 eV/atom.